Record 1
A geometry-optimized Nd4Ir2Pb5 structure. Source: Alexandria, functional PBE.

Values from the calculation:
As for the formation energy: -5.6 eV/f.u.

CIF file:
```
data_Nd4Ir2Pb5
_cell_length_a 8.1508
_cell_length_b 3.8456
_cell_length_c 9.8507
_cell_angle_alpha 90.00
_cell_angle_beta 93.15
_cell_angle_gamma 90.00
_space_group_name_H-M_alt 'P 1 2/m 1'
_space_group_IT_number 10
_space_group_name_Hall '-P 2y'
loop_
_atom_site_label
_atom_site_fract_x
_atom_site_fract_y
_atom_site_fract_z
Nd1 0.1941 0.0000 0.3419
Nd2 0.2072 0.0000 0.9284
Ir1 0.0822 0.5000 0.1331
Pb1 0.1413 0.5000 0.6350
Pb2 0.4511 0.5000 0.1627
Pb3 0.5000 0.5000 0.5000
```

Record 2
A geometry-optimized Nd7Ir2Pb2 structure. Source: Alexandria, functional PBE.

Values from the calculation:
As for the formation energy: -4.7 eV/f.u.

CIF file:
```
data_Nd7Ir2Pb2
_cell_length_a 8.5574
_cell_length_b 11.3181
_cell_length_c 7.3673
_cell_angle_alpha 90.00
_cell_angle_beta 90.00
_cell_angle_gamma 90.00
_space_group_name_H-M_alt 'C m m m'
_space_group_IT_number 65
_space_group_name_Hall '-C 2 2'
loop_
_atom_site_label
_atom_site_fract_x
_atom_site_fract_y
_atom_site_fract_z
Nd1 0.0000 0.0000 0.0000
Nd2 0.0000 0.5000 0.2324
Nd3 0.2500 0.2500 0.2456
Ir1 0.0000 0.2834 0.0000
Pb1 0.1830 0.0000 0.5000
```

Record 3
A geometry-optimized Nd5IrPb2 structure. Source: Alexandria, functional PBE.

Values from the calculation:
As for the formation energy: -4.6 eV/f.u.

CIF file:
```
data_Nd5IrPb2
_cell_length_a 8.3027
_cell_length_b 12.6981
_cell_length_c 4.7121
_cell_angle_alpha 90.00
_cell_angle_beta 90.00
_cell_angle_gamma 90.00
_space_group_name_H-M_alt 'P b a m'
_space_group_IT_number 55
_space_group_name_Hall '-P 2 2ab'
loop_
_atom_site_label
_atom_site_fract_x
_atom_site_fract_y
_atom_site_fract_z
Nd1 0.0000 0.0000 0.0000
Nd2 0.1360 0.2985 0.0000
Nd3 0.1851 0.5655 0.5000
Ir1 0.0000 0.5000 0.0000
Pb1 0.0776 0.8279 0.5000
```

Record 4
A geometry-optimized Nd4IrPb structure. Source: Alexandria, functional PBE.

Values from the calculation:
As for the formation energy: -2.9 eV/f.u.

CIF file:
```
data_Nd4IrPb
_cell_length_a 14.2338
_cell_length_b 14.2338
_cell_length_c 14.2338
_cell_angle_alpha 90.00
_cell_angle_beta 90.00
_cell_angle_gamma 90.00
_space_group_name_H-M_alt 'F -4 3 m'
_space_group_IT_number 216
_space_group_name_Hall 'F -4 2 3'
loop_
_atom_site_label
_atom_site_fract_x
_atom_site_fract_y
_atom_site_fract_z
Nd1 0.0000 0.0000 0.1898
Nd2 0.0541 0.2500 0.7500
Nd3 0.1516 0.1516 0.3484
Ir1 0.1419 0.1419 0.1419
Pb1 0.0889 0.0889 0.5889
```

Record 5
A geometry-optimized Nd2IrPb structure. Source: Alexandria, functional PBE.

Values from the calculation:
As for the formation energy: -2.3 eV/f.u.

CIF file:
```
data_Nd2IrPb
_cell_length_a 3.5935
_cell_length_b 3.5935
_cell_length_c 8.2832
_cell_angle_alpha 90.00
_cell_angle_beta 90.00
_cell_angle_gamma 90.00
_space_group_name_H-M_alt 'P 4/m m m'
_space_group_IT_number 123
_space_group_name_Hall '-P 4 2'
loop_
_atom_site_label
_atom_site_fract_x
_atom_site_fract_y
_atom_site_fract_z
Nd1 0.0000 0.0000 0.2052
Ir1 0.5000 0.5000 0.0000
Pb1 0.5000 0.5000 0.5000
```

Record 6
A geometry-optimized Nd12IrPb6 structure. Source: Alexandria, functional PBE.

Values from the calculation:
As for the formation energy: -6.1 eV/f.u.

CIF file:
```
data_Nd12IrPb6
_cell_length_a 13.5637
_cell_length_b 13.5637
_cell_length_c 12.8042
_cell_angle_alpha 90.00
_cell_angle_beta 90.00
_cell_angle_gamma 120.00
_space_group_name_H-M_alt 'R -3'
_space_group_IT_number 148
_space_group_name_Hall '-R 3'
loop_
_atom_site_label
_atom_site_fract_x
_atom_site_fract_y
_atom_site_fract_z
Nd1 0.0310 0.8353 0.3935
Nd2 0.0720 0.8774 0.8764
Ir1 0.0000 0.0000 0.0000
Pb1 0.0434 0.6198 0.3026
```

Record 7
A geometry-optimized Nd5IrPb2 structure. Source: Alexandria, functional PBE.

Values from the calculation:
As for the formation energy: -2.7 eV/f.u.

CIF file:
```
data_Nd5IrPb2
_cell_length_a 6.1062
_cell_length_b 10.3413
_cell_length_c 16.1830
_cell_angle_alpha 90.00
_cell_angle_beta 90.00
_cell_angle_gamma 90.00
_space_group_name_H-M_alt 'C m c m'
_space_group_IT_number 63
_space_group_name_Hall '-C 2c 2'
loop_
_atom_site_label
_atom_site_fract_x
_atom_site_fract_y
_atom_site_fract_z
Nd1 0.0000 0.0768 0.1188
Nd2 0.0000 0.2503 0.7500
Nd3 0.0000 0.4228 0.1191
Ir1 0.0000 0.2495 0.2500
Pb1 0.0000 0.2503 0.5509
```

Record 8
A geometry-optimized Nd4IrPb structure. Source: Alexandria, functional PBE.

Values from the calculation:
As for the formation energy: -2.8 eV/f.u.

CIF file:
```
data_Nd4IrPb
_cell_length_a 9.1302
_cell_length_b 14.0938
_cell_length_c 6.2188
_cell_angle_alpha 90.00
_cell_angle_beta 113.20
_cell_angle_gamma 90.00
_space_group_name_H-M_alt 'C 1 2/c 1'
_space_group_IT_number 15
_space_group_name_Hall '-C 2yc'
loop_
_atom_site_label
_atom_site_fract_x
_atom_site_fract_y
_atom_site_fract_z
Nd1 0.1128 0.1758 0.0698
Nd2 0.2213 0.4291 0.3451
Ir1 0.0000 0.0009 0.7500
Pb1 0.0000 0.3743 0.7500
```

Record 9
A geometry-optimized Nd6Ir2PbSe3 structure. Source: Alexandria, functional PBE.

Values from the calculation:
The value obtained for the formation energy from raw total energies is -1.169 eV per atom.

CIF file:
```
data_Nd6Ir2PbSe3
_cell_length_a 19.2531
_cell_length_b 4.1874
_cell_length_c 8.8627
_cell_angle_alpha 90.00
_cell_angle_beta 108.73
_cell_angle_gamma 90.00
_space_group_name_H-M_alt 'C 1 2/m 1'
_space_group_IT_number 12
_space_group_name_Hall '-C 2y'
loop_
_atom_site_label
_atom_site_fract_x
_atom_site_fract_y
_atom_site_fract_z
Nd1 0.0025 0.0000 0.2679
Nd2 0.1749 0.5000 0.0990
Nd3 0.1794 0.5000 0.5578
Ir1 0.1624 0.0000 0.3165
Pb1 0.0000 0.5000 0.0000
Se1 0.0000 0.5000 0.5000
Se2 0.1635 0.0000 0.8261
```

Record 10
A geometry-optimized Nd6Te3Ir2Pb structure. Source: Alexandria, functional PBE.

Values from the calculation:
The value obtained for the formation energy from raw total energies is -0.993 eV per atom.

CIF file:
```
data_Nd6Te3Ir2Pb
_cell_length_a 19.6389
_cell_length_b 4.3107
_cell_length_c 9.1151
_cell_angle_alpha 90.00
_cell_angle_beta 107.01
_cell_angle_gamma 90.00
_space_group_name_H-M_alt 'C 1 2/m 1'
_space_group_IT_number 12
_space_group_name_Hall '-C 2y'
loop_
_atom_site_label
_atom_site_fract_x
_atom_site_fract_y
_atom_site_fract_z
Nd1 0.0138 0.0000 0.2599
Nd2 0.1711 0.5000 0.1164
Nd3 0.1793 0.5000 0.5605
Te1 0.0000 0.5000 0.5000
Te2 0.1606 0.0000 0.8324
Ir1 0.1683 0.0000 0.3326
Pb1 0.0000 0.5000 0.0000
```

Record 11
A geometry-optimized NdIrPd structure. Source: Alexandria, functional PBE.

Values from the calculation:
As for the formation energy: -2.0 eV/f.u.

CIF file:
```
data_NdIrPd
_cell_length_a 5.4373
_cell_length_b 5.4639
_cell_length_c 7.8034
_cell_angle_alpha 90.00
_cell_angle_beta 90.00
_cell_angle_gamma 90.00
_space_group_name_H-M_alt 'I m m a'
_space_group_IT_number 74
_space_group_name_Hall '-I 2b 2'
loop_
_atom_site_label
_atom_site_fract_x
_atom_site_fract_y
_atom_site_fract_z
Nd1 0.0000 0.2500 0.1277
Ir1 0.0000 0.0000 0.5000
Pd1 0.2500 0.2500 0.7500
```

Record 12
A geometry-optimized Nd4IrPd structure. Source: Alexandria, functional PBE.

Values from the calculation:
As for the formation energy: -2.9 eV/f.u.

CIF file:
```
data_Nd4IrPd
_cell_length_a 7.1603
_cell_length_b 7.1172
_cell_length_c 7.1636
_cell_angle_alpha 90.00
_cell_angle_beta 92.64
_cell_angle_gamma 90.00
_space_group_name_H-M_alt 'P 1 21/c 1'
_space_group_IT_number 14
_space_group_name_Hall '-P 2ybc'
loop_
_atom_site_label
_atom_site_fract_x
_atom_site_fract_y
_atom_site_fract_z
Nd1 0.1634 0.1703 0.1810
Nd2 0.3270 0.6673 0.1578
Ir1 0.0000 0.0000 0.5000
Pd1 0.5000 0.0000 0.0000
```

Record 13
A geometry-optimized Nd4IrPd structure. Source: Alexandria, functional PBE.

Values from the calculation:
As for the formation energy: -2.9 eV/f.u.

CIF file:
```
data_Nd4IrPd
_cell_length_a 7.1378
_cell_length_b 7.1378
_cell_length_c 6.5153
_cell_angle_alpha 90.00
_cell_angle_beta 90.00
_cell_angle_gamma 90.00
_space_group_name_H-M_alt 'P 4/m c c'
_space_group_IT_number 124
_space_group_name_Hall '-P 4 2c'
loop_
_atom_site_label
_atom_site_fract_x
_atom_site_fract_y
_atom_site_fract_z
Nd1 0.1757 0.3129 0.0000
Ir1 0.0000 0.0000 0.2500
Pd1 0.5000 0.5000 0.2500
```

Record 14
A geometry-optimized Nd2Ir9Pd structure. Source: Alexandria, functional PBE.

Values from the calculation:
As for the formation energy: -1.7 eV/f.u.

CIF file:
```
data_Nd2Ir9Pd
_cell_length_a 5.3098
_cell_length_b 5.3098
_cell_length_c 26.4362
_cell_angle_alpha 90.00
_cell_angle_beta 90.00
_cell_angle_gamma 120.00
_space_group_name_H-M_alt 'R -3 m'
_space_group_IT_number 166
_space_group_name_Hall '-R 3 2"'
loop_
_atom_site_label
_atom_site_fract_x
_atom_site_fract_y
_atom_site_fract_z
Nd1 0.0000 0.0000 0.1351
Ir1 0.0000 0.0000 0.3332
Ir2 0.0000 0.0000 0.5000
Ir3 0.0011 0.5005 0.0809
Pd1 0.0000 0.0000 0.0000
```

Record 15
A geometry-optimized Nd2IrPd structure. Source: Alexandria, functional PBE.

Values from the calculation:
As for the formation energy: -3.0 eV/f.u.

CIF file:
```
data_Nd2IrPd
_cell_length_a 5.8404
_cell_length_b 4.4522
_cell_length_c 7.8498
_cell_angle_alpha 90.00
_cell_angle_beta 110.18
_cell_angle_gamma 90.00
_space_group_name_H-M_alt 'P 1 21/m 1'
_space_group_IT_number 11
_space_group_name_Hall '-P 2yb'
loop_
_atom_site_label
_atom_site_fract_x
_atom_site_fract_y
_atom_site_fract_z
Nd1 0.2178 0.2500 0.4370
Nd2 0.2290 0.2500 0.9245
Ir1 0.3308 0.7500 0.7100
Pd1 0.3251 0.7500 0.2062
```

Record 16
A geometry-optimized Nd6IrPd2 structure. Source: Alexandria, functional PBE.

Values from the calculation:
As for the formation energy: -4.6 eV/f.u.

CIF file:
```
data_Nd6IrPd2
_cell_length_a 6.7838
_cell_length_b 7.5511
_cell_length_c 12.2298
_cell_angle_alpha 90.00
_cell_angle_beta 120.65
_cell_angle_gamma 90.00
_space_group_name_H-M_alt 'P 1 21/c 1'
_space_group_IT_number 14
_space_group_name_Hall '-P 2ybc'
loop_
_atom_site_label
_atom_site_fract_x
_atom_site_fract_y
_atom_site_fract_z
Nd1 0.0958 0.0431 0.2525
Nd2 0.2446 0.6754 0.0732
Nd3 0.4043 0.1835 0.0688
Ir1 0.0000 0.0000 0.0000
Pd1 0.3268 0.1156 0.7661
```

Record 17
A geometry-optimized Nd2IrPd structure. Source: Alexandria, functional PBE.

Values from the calculation:
As for the formation energy: -2.8 eV/f.u.

CIF file:
```
data_Nd2IrPd
_cell_length_a 7.1564
_cell_length_b 7.1564
_cell_length_c 7.1564
_cell_angle_alpha 90.00
_cell_angle_beta 90.00
_cell_angle_gamma 90.00
_space_group_name_H-M_alt 'F m -3 m'
_space_group_IT_number 225
_space_group_name_Hall '-F 4 2 3'
loop_
_atom_site_label
_atom_site_fract_x
_atom_site_fract_y
_atom_site_fract_z
Nd1 0.2500 0.2500 0.2500
Ir1 0.0000 0.0000 0.0000
Pd1 0.0000 0.0000 0.5000
```

Record 18
A geometry-optimized Nd8IrPd5 structure. Source: Alexandria, functional PBE.

Values from the calculation:
As for the formation energy: -9.1 eV/f.u.

CIF file:
```
data_Nd8IrPd5
_cell_length_a 9.0224
_cell_length_b 9.0224
_cell_length_c 9.0746
_cell_angle_alpha 90.00
_cell_angle_beta 90.00
_cell_angle_gamma 90.00
_space_group_name_H-M_alt 'I -4'
_space_group_IT_number 82
_space_group_name_Hall 'I -4'
loop_
_atom_site_label
_atom_site_fract_x
_atom_site_fract_y
_atom_site_fract_z
Nd1 0.0560 0.1874 0.1913
Nd2 0.0603 0.3023 0.5658
Ir1 0.0000 0.0000 0.5000
Pd1 0.0000 0.5000 0.2500
Pd2 0.1222 0.2502 0.8802
```

Record 19
A geometry-optimized Nd5Ir2Pd structure. Source: Alexandria, functional PBE.

Values from the calculation:
As for the formation energy: -4.8 eV/f.u.

CIF file:
```
data_Nd5Ir2Pd
_cell_length_a 7.8778
_cell_length_b 7.8778
_cell_length_c 13.7660
_cell_angle_alpha 90.00
_cell_angle_beta 90.00
_cell_angle_gamma 90.00
_space_group_name_H-M_alt 'I 4/m c m'
_space_group_IT_number 140
_space_group_name_Hall '-I 4 2c'
loop_
_atom_site_label
_atom_site_fract_x
_atom_site_fract_y
_atom_site_fract_z
Nd1 0.0000 0.0000 0.0000
Nd2 0.1651 0.3349 0.1376
Ir1 0.1349 0.3651 0.5000
Pd1 0.0000 0.0000 0.2500
```

Record 20
A geometry-optimized Nd2IrPd structure. Source: Alexandria, functional PBE.

Values from the calculation:
As for the formation energy: -2.7 eV/f.u.

CIF file:
```
data_Nd2IrPd
_cell_length_a 3.5917
_cell_length_b 3.5917
_cell_length_c 7.1803
_cell_angle_alpha 90.00
_cell_angle_beta 90.00
_cell_angle_gamma 90.00
_space_group_name_H-M_alt 'P 4/m m m'
_space_group_IT_number 123
_space_group_name_Hall '-P 4 2'
loop_
_atom_site_label
_atom_site_fract_x
_atom_site_fract_y
_atom_site_fract_z
Nd1 0.0000 0.0000 0.2380
Ir1 0.5000 0.5000 0.0000
Pd1 0.5000 0.5000 0.5000
```